No. 1
# SrSi2PdPt5 (GGA-PBE, relaxed)
# DOS at the Fermi energy (states/eV/atom): 0.631
# Spin magnetization (Bohr magnetons per cell): 0.00
data_SrSi2PdPt5
_chemical_formula_sum 'Sr1 Si2 Pd1 Pt5'
_cell_length_a 4.128
_cell_length_b 4.128
_cell_length_c 10.533
_cell_angle_alpha 90.00
_cell_angle_beta 90.00
_cell_angle_gamma 90.00
_symmetry_space_group_name_H-M 'P 4/m m m'
_symmetry_Int_Tables_number 123
_symmetry_space_group_name_Hall '-P 4 2'
loop_
_atom_site_label
_atom_site_type_symbol
_atom_site_fract_x
_atom_site_fract_y
_atom_site_fract_z
Sr1 Sr 0.000 0.000 0.000
Si1 Si 0.500 0.500 0.223
Pd1 Pd 0.000 0.000 0.500
Pt1 Pt 0.000 0.500 0.333
Pt2 Pt 0.500 0.500 0.000



No. 2
# SrSiPdPt6 (GGA-PBE, relaxed)
# DOS at the Fermi energy (states/eV/atom): 0.871
# Spin magnetization (Bohr magnetons per cell): 0.00
data_SrSiPdPt6
_chemical_formula_sum 'Sr4 Si4 Pd4 Pt24'
_cell_length_a 5.549
_cell_length_b 9.342
_cell_length_c 13.164
_cell_angle_alpha 90.00
_cell_angle_beta 90.00
_cell_angle_gamma 90.00
_symmetry_space_group_name_H-M 'I m m a'
_symmetry_Int_Tables_number 74
_symmetry_space_group_name_Hall '-I 2b 2'
loop_
_atom_site_label
_atom_site_type_symbol
_atom_site_fract_x
_atom_site_fract_y
_atom_site_fract_z
Sr1 Sr 0.000 0.250 0.184
Si1 Si 0.000 0.000 0.500
Pd1 Pd 0.250 0.250 0.750
Pt1 Pt 0.000 0.250 0.429
Pt2 Pt 0.000 0.250 0.933
Pt3 Pt 0.248 0.018 0.862



No. 3
# Sr2Si4PdPt3 (GGA-PBE, relaxed)
# DOS at the Fermi energy (states/eV/atom): 0.429
# Spin magnetization (Bohr magnetons per cell): 0.00
data_Sr2Si4PdPt3
_chemical_formula_sum 'Sr2 Si4 Pd1 Pt3'
_cell_length_a 4.310
_cell_length_b 4.310
_cell_length_c 10.039
_cell_angle_alpha 90.00
_cell_angle_beta 90.00
_cell_angle_gamma 90.00
_symmetry_space_group_name_H-M 'P -4 m 2'
_symmetry_Int_Tables_number 115
loop_
_symmetry_equiv_pos_as_xyz
'x,y,z'
'y,-x,-z'
'-x,-y,z'
'-y,x,-z'
'-x,y,z'
'-y,-x,-z'
'x,-y,z'
'y,x,-z'
loop_
_atom_site_label
_atom_site_type_symbol
_atom_site_fract_x
_atom_site_fract_y
_atom_site_fract_z
Sr1 Sr 0.000 0.500 0.245
Si1 Si 0.000 0.000 0.000
Si2 Si 0.000 0.500 0.627
Si3 Si 0.500 0.500 0.000
Pd1 Pd 0.000 0.000 0.500
Pt1 Pt 0.000 0.500 0.877
Pt2 Pt 0.500 0.500 0.500



No. 4
# SrSiPd2Pt (GGA-PBE, relaxed)
# DOS at the Fermi energy (states/eV/atom): 0.596
# Spin magnetization (Bohr magnetons per cell): 0.00
data_SrSiPd2Pt
_chemical_formula_sum 'Sr1 Si1 Pd2 Pt1'
_cell_length_a 4.695
_cell_length_b 4.695
_cell_length_c 4.666
_cell_angle_alpha 90.00
_cell_angle_beta 90.00
_cell_angle_gamma 90.00
_symmetry_space_group_name_H-M 'P 4/m m m'
_symmetry_Int_Tables_number 123
_symmetry_space_group_name_Hall '-P 4 2'
loop_
_atom_site_label
_atom_site_type_symbol
_atom_site_fract_x
_atom_site_fract_y
_atom_site_fract_z
Sr1 Sr 0.000 0.000 0.000
Si1 Si 0.500 0.500 0.500
Pd1 Pd 0.000 0.500 0.500
Pt1 Pt 0.500 0.500 0.000



No. 5
# TaSi2PdPt (GGA-PBE, relaxed)
# DOS at the Fermi energy (states/eV/atom): 0.733
# Spin magnetization (Bohr magnetons per cell): 1.40
data_TaSi2PdPt
_chemical_formula_sum 'Ta1 Si2 Pd1 Pt1'
_cell_length_a 4.468
_cell_length_b 4.468
_cell_length_c 5.052
_cell_angle_alpha 90.00
_cell_angle_beta 90.00
_cell_angle_gamma 90.00
_symmetry_space_group_name_H-M 'P 4/m m m'
_symmetry_Int_Tables_number 123
_symmetry_space_group_name_Hall '-P 4 2'
loop_
_atom_site_label
_atom_site_type_symbol
_atom_site_fract_x
_atom_site_fract_y
_atom_site_fract_z
Ta1 Ta 0.000 0.000 0.000
Si1 Si 0.000 0.500 0.500
Pd1 Pd 0.500 0.500 0.000
Pt1 Pt 0.500 0.500 0.500



No. 6
# Tb3Si6PdPt2 (GGA-PBE, relaxed)
# DOS at the Fermi energy (states/eV/atom): 0.287
# Spin magnetization (Bohr magnetons per cell): 0.00
data_Tb3Si6PdPt2
_chemical_formula_sum 'Tb3 Si6 Pd1 Pt2'
_cell_length_a 5.2596
_cell_length_b 5.2596
_cell_length_c 9.4032
_cell_angle_alpha 90.00
_cell_angle_beta 90.00
_cell_angle_gamma 120.00
_symmetry_space_group_name_H-M 'P -3 m 1'
_symmetry_Int_Tables_number 164
_symmetry_space_group_name_Hall '-P 3 2"'
loop_
_atom_site_label
_atom_site_type_symbol
_atom_site_fract_x
_atom_site_fract_y
_atom_site_fract_z
Tb1 Tb 0.0000 0.0000 0.0000
Tb2 Tb 0.3333 0.6667 0.5783
Si1 Si 0.1657 0.3315 0.2794
Pd1 Pd 0.0000 0.0000 0.5000
Pt1 Pt 0.3333 0.6667 0.0742



Respective ΔE_f (raw) values: -4.8; -1.4; -9.0; -3.0; 4.4; -6.8 eV per formula unit.